(1)
Entry from Alexandria: crystalline Ba3TiFe at its relaxed geometry (PBE).

E_form = 465 kJ/mol of formula units
Final energy = -3.4616 eV/atom

```
5
Lattice="5.8190 0.0000 0.0000 0.0000 5.8190 0.0000 0.0000 0.0000 5.8190" Properties=species:S:1:pos:R:3 pbc="T T T"
Ba 0.0000 0.0000 2.9095
Ba 0.0000 2.9095 0.0000
Ba 2.9095 0.0000 0.0000
Ti 2.9095 2.9095 2.9095
Fe 0.0000 0.0000 0.0000
```


(2)
Entry from Alexandria: crystalline BaTi3Fe at its relaxed geometry (PBE).

E_form = 1139 kJ/mol of formula units
Final energy = -4.4521 eV/atom

```
5
Lattice="4.8695 0.0000 0.0000 0.0000 4.8695 0.0000 0.0000 0.0000 4.8695" Properties=species:S:1:pos:R:3 pbc="T T T"
Ba 0.0000 0.0000 0.0000
Ti 0.0000 0.0000 2.4348
Ti 0.0000 2.4348 0.0000
Ti 2.4348 0.0000 0.0000
Fe 2.4348 2.4348 2.4348
```


(3)
Entry from Alexandria: crystalline BaTi2Fe at its relaxed geometry (PBE).

E_form = 360 kJ/mol of formula units
Final energy = -5.6115 eV/atom

```
4
Lattice="0.0000 3.3470 3.3470 3.3470 0.0000 3.3470 3.3470 3.3470 0.0000" Properties=species:S:1:pos:R:3 pbc="T T T"
Ba 0.0000 0.0000 0.0000
Ti 1.6735 1.6735 1.6735
Ti 5.0205 5.0205 5.0205
Fe 3.3470 3.3470 3.3470
```


(4)
Entry from Alexandria: crystalline BaTiFe3 at its relaxed geometry (PBE).

E_form = 1104 kJ/mol of formula units
Final energy = -4.7524 eV/atom

```
5
Lattice="4.8676 0.0000 0.0000 0.0000 4.8676 0.0000 0.0000 0.0000 4.8676" Properties=species:S:1:pos:R:3 pbc="T T T"
Ba 0.0000 0.0000 0.0000
Ti 2.4338 2.4338 2.4338
Fe 0.0000 0.0000 2.4338
Fe 0.0000 2.4338 0.0000
Fe 2.4338 0.0000 0.0000
```


(5)
Entry from Alexandria: crystalline BaTiFe2 at its relaxed geometry (PBE).

E_form = 324 kJ/mol of formula units
Final energy = -5.8463 eV/atom

```
8
Lattice="-2.4086 2.4086 7.8850 2.4086 -2.4086 7.8850 2.4086 2.4086 -7.8850" Properties=species:S:1:pos:R:3 pbc="T T T"
Ba 2.4086 1.2043 1.9712
Ba 0.0000 1.2043 5.9137
Ti 2.4086 -1.2043 5.9137
Ti 0.0000 3.6128 1.9712
Fe 0.0000 0.0000 0.0000
Fe 1.2043 1.2043 -3.9425
Fe 1.2043 -1.2043 3.9425
Fe 0.0000 2.4086 0.0000
```


(6)
Entry from Alexandria: crystalline BaTiFe2 at its relaxed geometry (PBE).

E_form = 392 kJ/mol of formula units
Final energy = -5.6690 eV/atom

```
4
Lattice="0.0000 3.2778 3.2778 3.2778 0.0000 3.2778 3.2778 3.2778 0.0000" Properties=species:S:1:pos:R:3 pbc="T T T"
Ba 0.0000 0.0000 0.0000
Ti 3.2778 3.2778 3.2778
Fe 1.6389 1.6389 1.6389
Fe 4.9167 4.9167 4.9167
```


(7)
Entry from Alexandria: crystalline BaTi3Fe at its relaxed geometry (PBE).

E_form = 198 kJ/mol of formula units
Final energy = -6.4045 eV/atom

```
5
Lattice="4.7558 0.0000 0.0000 0.0000 4.7558 0.0000 0.0000 0.0000 4.7558" Properties=species:S:1:pos:R:3 pbc="T T T"
Ba 0.0000 0.0000 0.0000
Ti 0.0000 2.3779 2.3779
Ti 2.3779 0.0000 2.3779
Ti 2.3779 2.3779 0.0000
Fe 2.3779 2.3779 2.3779
```


(8)
Entry from Alexandria: crystalline Ba2TiFe at its relaxed geometry (PBE).

E_form = 245 kJ/mol of formula units
Final energy = -4.4166 eV/atom

```
8
Lattice="-6.1794 6.1794 2.1912 6.1794 -6.1794 2.1912 6.1794 6.1794 -2.1912" Properties=species:S:1:pos:R:3 pbc="T T T"
Ba 0.8350 3.0897 0.5478
Ba -3.0897 5.3444 1.6434
Ba -0.8350 9.2690 0.5478
Ba 3.0897 7.0144 1.6434
Ti 6.1794 0.0000 1.0956
Ti 0.0000 0.0000 2.1912
Fe 0.0000 0.0000 0.0000
Fe 0.0000 6.1794 1.0956
```


(9)
Entry from Alexandria: crystalline BaTi2Fe at its relaxed geometry (PBE).

E_form = 318 kJ/mol of formula units
Final energy = -5.7195 eV/atom

```
8
Lattice="-3.3059 3.3059 5.4739 3.3059 -3.3059 5.4739 3.3059 3.3059 -5.4739" Properties=species:S:1:pos:R:3 pbc="T T T"
Ba 3.3059 1.6530 1.3685
Ba 0.0000 1.6530 4.1055
Ti 0.0000 0.0000 0.0000
Ti 1.6530 1.6530 -2.7370
Ti 1.6530 -1.6530 2.7370
Ti 0.0000 3.3059 0.0000
Fe 3.3059 -1.6530 4.1055
Fe 0.0000 4.9589 1.3685
```


(10)
Entry from Alexandria: crystalline Ba2TiFe at its relaxed geometry (PBE).

E_form = 493 kJ/mol of formula units
Final energy = -3.7741 eV/atom

```
4
Lattice="0.0000 3.8375 3.8375 3.8375 0.0000 3.8375 3.8375 3.8375 0.0000" Properties=species:S:1:pos:R:3 pbc="T T T"
Ba 1.9187 1.9187 1.9187
Ba 5.7562 5.7562 5.7562
Ti 0.0000 0.0000 0.0000
Fe 3.8375 3.8375 3.8375
```


(11)
Entry from Alexandria: crystalline BaTiFeW2 at its relaxed geometry (PBE).

E_form = 539 kJ/mol of formula units
Final energy = -7.7205 eV/atom

```
5
Lattice="4.6985 0.0000 0.0000 0.0000 4.6985 0.0000 0.0000 0.0000 4.7454" Properties=species:S:1:pos:R:3 pbc="T T T"
Ba 0.0000 0.0000 0.0000
Ti 2.3492 2.3492 0.0000
Fe 2.3492 2.3492 2.3727
W 0.0000 2.3492 2.3727
W 2.3492 0.0000 2.3727
```


(12)
Entry from Alexandria: crystalline BaZrTi2Fe at its relaxed geometry (PBE).

E_form = 195 kJ/mol of formula units
Final energy = -6.5414 eV/atom

```
5
Lattice="4.7909 0.0000 0.0000 0.0000 4.7909 0.0000 0.0000 0.0000 5.0001" Properties=species:S:1:pos:R:3 pbc="T T T"
Ba 0.0000 0.0000 0.0000
Zr 2.3954 2.3954 0.0000
Ti 0.0000 2.3954 2.5001
Ti 2.3954 0.0000 2.5001
Fe 2.3954 2.3954 2.5001
```


(13)
Entry from Alexandria: crystalline BaTlFe2 at its relaxed geometry (PBE).

E_form = 232 kJ/mol of formula units
Final energy = -4.7029 eV/atom

```
4
Lattice="3.7177 0.0000 0.0000 0.0000 3.7177 0.0000 0.0000 0.0000 7.1019" Properties=species:S:1:pos:R:3 pbc="T T T"
Ba 0.0000 0.0000 0.0000
Tl 0.0000 0.0000 3.5509
Fe 1.8588 1.8588 2.4473
Fe 1.8588 1.8588 4.6546
```


(14)
Entry from Alexandria: crystalline BaTlFe2 at its relaxed geometry (PBE).

E_form = 322 kJ/mol of formula units
Final energy = -4.4684 eV/atom

```
4
Lattice="-2.4697 2.4697 3.9883 2.4697 -2.4697 3.9883 2.4697 2.4697 -3.9883" Properties=species:S:1:pos:R:3 pbc="T T T"
Ba 0.0000 0.0000 0.0000
Tl 0.0000 2.4697 1.9941
Fe 2.4697 0.0000 1.9941
Fe 0.0000 0.0000 3.9883
```


(15)
Entry from Alexandria: crystalline BaTlFe4 at its relaxed geometry (PBE).

E_form = 307 kJ/mol of formula units
Final energy = -5.8268 eV/atom

```
6
Lattice="0.0000 3.7778 3.7778 3.7778 0.0000 3.7778 3.7778 3.7778 0.0000" Properties=species:S:1:pos:R:3 pbc="T T T"
Ba 0.0000 0.0000 0.0000
Tl 1.8889 1.8889 1.8889
Fe 4.6885 2.8671 2.8671
Fe 2.8671 4.6885 2.8671
Fe 2.8671 2.8671 4.6885
Fe 4.6885 4.6885 4.6885
```


(16)
Entry from Alexandria: crystalline BaTlFe2 at its relaxed geometry (PBE).

E_form = 125 kJ/mol of formula units
Final energy = -4.9797 eV/atom

```
4
Lattice="2.0737 1.1972 6.5740 -2.0737 1.1972 6.5740 0.0000 -2.3945 6.5740" Properties=species:S:1:pos:R:3 pbc="T T T"
Ba 0.0000 0.0000 0.0000
Tl 0.0000 0.0000 3.7966
Fe 0.0000 0.0000 9.0109
Fe 0.0000 0.0000 15.5456
```


(17)
Entry from Alexandria: crystalline BaTlFe at its relaxed geometry (PBE).

E_form = 89 kJ/mol of formula units
Final energy = -3.9416 eV/atom

```
3
Lattice="4.7139 0.0000 0.0000 -2.3570 4.0824 0.0000 0.0000 0.0000 4.9408" Properties=species:S:1:pos:R:3 pbc="T T T"
Ba 0.0000 0.0000 0.0000
Tl 0.0000 2.7216 2.4704
Fe 2.3570 1.3608 2.4704
```


(18)
Entry from Alexandria: crystalline BaTlFe at its relaxed geometry (PBE).

E_form = 113 kJ/mol of formula units
Final energy = -3.8613 eV/atom

```
3
Lattice="-1.8900 1.8900 6.0341 1.8900 -1.8900 6.0341 1.8900 1.8900 -6.0341" Properties=species:S:1:pos:R:3 pbc="T T T"
Ba 0.0000 0.0000 0.0000
Tl 0.0000 0.0000 3.4276
Fe 0.0000 0.0000 8.6018
```


(19)
Entry from Alexandria: crystalline BaTlFe2 at its relaxed geometry (PBE).

E_form = 155 kJ/mol of formula units
Final energy = -4.9014 eV/atom

```
4
Lattice="3.9758 -2.3019 0.0000 3.9758 2.3019 0.0000 -2.6506 0.0000 5.5630" Properties=species:S:1:pos:R:3 pbc="T T T"
Ba 0.0000 0.0000 0.0000
Tl 2.6505 0.0000 2.7815
Fe -0.0046 0.0000 3.0314
Fe 5.3057 0.0000 2.5316
```


(20)
Entry from Alexandria: crystalline BaTlFe2 at its relaxed geometry (PBE).

E_form = 152 kJ/mol of formula units
Final energy = -4.9099 eV/atom

```
4
Lattice="3.3694 0.0000 0.0000 0.0000 3.3694 0.0000 0.0000 0.0000 8.0094" Properties=species:S:1:pos:R:3 pbc="T T T"
Ba 0.0000 0.0000 0.0000
Tl 1.6847 1.6847 5.2051
Fe 0.0000 0.0000 3.2963
Fe 1.6847 1.6847 2.4720
```